Record 1
Density functional theory data (GGA-PBEsol) for a geometry-optimized Cd3In structure.

As for the formation energy: 0.2 eV per formula unit. The calculation puts the calculated total energy at -1.6052 eV/atom.

The space group is Cmmm (No. 65) and the conventional cell measures 2.926, 5.509 and 11.149 Å, with angles of 90.00, 90.00 and 90.00 degrees. The distinct sites, in fractional coordinates, are Cd at (0.000, 0.000, 0.000), Cd at (0.000, 0.500, 0.241) and In at (0.000, 0.000, 0.500).

---

Record 2
Density functional theory data (GGA-PBEsol) for a geometry-optimized Cd3In structure.

As for the formation energy: 0.1 eV per formula unit. The calculation puts the calculated total energy at -1.6272 eV/atom.

The space group is P4/mmm (No. 123) and the conventional cell measures 3.151, 3.151 and 8.845 Å, with angles of 90.00, 90.00 and 90.00 degrees. The distinct sites, in fractional coordinates, are Cd at (0.000, 0.000, 0.000), Cd at (0.500, 0.500, 0.236) and In at (0.000, 0.000, 0.500).

---

Record 3
Density functional theory data (GGA-PBEsol) for a geometry-optimized Cd3In structure.

As for the formation energy: 0.1 eV per formula unit. The calculation puts the calculated total energy at -1.6071 eV/atom.

The space group is P-6m2 (No. 187) and the conventional cell measures 3.0592, 3.0592 and 10.9055 Å, with angles of 90.00, 90.00 and 120.00 degrees. The distinct sites, in fractional coordinates, are Cd at (0.0000, 0.0000, 0.0000), Cd at (0.6667, 0.3333, 0.2408) and In at (0.0000, 0.0000, 0.5000).

---

Record 4
Density functional theory data (GGA-PBEsol) for a geometry-optimized CdIn3 structure.

As for the formation energy: 0.1 eV per formula unit. The calculation puts the calculated total energy at -2.5085 eV/atom.

The space group is P-6m2 (No. 187) and the conventional cell measures 3.2342, 3.2342 and 10.7649 Å, with angles of 90.00, 90.00 and 120.00 degrees. The distinct sites, in fractional coordinates, are Cd at (0.0000, 0.0000, 0.0000), In at (0.0000, 0.0000, 0.5000) and In at (0.3333, 0.6667, 0.2403).

---

Record 5
Density functional theory data (GGA-PBEsol) for a geometry-optimized CdIn2 structure.

As for the formation energy: 0.1 eV per formula unit. The calculation puts the calculated total energy at -2.3472 eV/atom.

The space group is Cmcm (No. 63) and the conventional cell measures 3.389, 16.057 and 5.319 Å, with angles of 90.00, 90.00 and 90.00 degrees. The distinct sites, in fractional coordinates, are Cd at (0.000, 0.108, 0.250), In at (0.000, 0.226, 0.750) and In at (0.000, 0.442, 0.250).

---

Record 6
Density functional theory data (GGA-PBEsol) for a geometry-optimized Cd3In4 structure.

As for the formation energy: 0.4 eV per formula unit. Its energy above the lowest structure with this stoichiometry is 0.6 kJ per mole of atoms. The calculation puts the calculated total energy at -2.1658 eV/atom.

The space group is I4/mmm (No. 139) and the conventional cell measures 3.756, 3.756 and 23.731 Å, with angles of 90.00, 90.00 and 90.00 degrees. The distinct sites, in fractional coordinates, are Cd at (0.000, 0.000, 0.000), Cd at (0.000, 0.000, 0.283), In at (0.000, 0.000, 0.147) and In at (0.000, 0.000, 0.429).

---

- Among the records above, which one has the lowest calculated total energy?
  CdIn3

---

- The lowest calculated total energy belongs to which entry?
  CdIn3

---

- What is the calculated total energy in the first record?
  -1.6052 eV/atom